PrMg2UN4: relaxed, GGA-PBE.

Values from the calculation:
Fermi-level density of states in states/eV per atom: 0.361
Uncorrected formation energy in meV/atom: -1036

abc: 3.463 5.663 6.119
angles: 67.93 90.00 90.00
Fractional positions:
Pr 0.500 0.500 0.000
Mg 0.000 0.000 0.000
Mg 0.500 0.000 0.500
U 0.000 0.500 0.500
N 0.000 0.735 0.709
N 0.000 0.265 0.291
N 0.500 0.752 0.262
N 0.500 0.248 0.738